[1]
The following is a PBE-GGA calculation of a geometry-optimized ZnCd structure, from OQMD via LeMat-Bulk.

Calculated values
DFT formation energy in eV/atom: 0.091

abc: 2.9776 2.9776 4.8381
angles: 90.00 90.00 120.00
Space group P-6m2 (No. 187)
Asymmetric unit:
Zn 0.0000 0.0000 0.0000 x1
Cd 0.3333 0.6667 0.5000 x1

[2]
The following is a PBE-GGA calculation of a geometry-optimized ErZrPb structure, from OQMD via LeMat-Bulk.

Calculated values
Energy relative to the lowest polymorph listed for this composition in eV per atom: 0.000

abc: 4.393 4.393 8.244
angles: 90.00 90.00 90.00
Space group P4/nmm (No. 129, origin choice 2)
Asymmetric unit:
Er 0.250 0.250 0.166 x2
Zr 0.250 0.750 0.500 x2
Pb 0.250 0.250 0.776 x2

[3]
The following is a PBE-GGA calculation of a geometry-optimized PrGaSnPd2 structure, from OQMD via LeMat-Bulk.

Calculated values
Electronic total energy in eV/atom: -5.231

abc: 4.548 4.548 10.309
angles: 90.00 90.00 90.00
Space group P4/nmm (No. 129, origin choice 2)
Asymmetric unit:
Pr 0.250 0.250 0.245 x2
Ga 0.250 0.750 0.000 x2
Sn 0.250 0.250 0.638 x2
Pd 0.250 0.250 0.890 x2
Pd 0.250 0.750 0.500 x2

[4]
The following is a PBE-GGA calculation of a geometry-optimized FeSiAs2 structure, from OQMD via LeMat-Bulk.

Calculated values
Electronic total energy in eV/atom: -5.228

abc: 6.288 6.288 6.288
angles: 90.00 90.00 90.00
Space group F-43m (No. 216)
Asymmetric unit:
Fe 0.000 0.000 0.000 x4
Si 0.250 0.250 0.750 x4
As 0.000 0.000 0.500 x4
As 0.250 0.250 0.250 x4

[5]
The following is a PBE-GGA calculation of a geometry-optimized NaLuGaSe3 structure, from OQMD via LeMat-Bulk.

Calculated values
Electronic total energy in eV/atom: -4.315

abc: 4.430 13.271 10.659
angles: 90.00 90.00 90.00
Space group Cmcm (No. 63)
Asymmetric unit:
Na 0.000 0.249 0.250 x4
Lu 0.000 0.000 0.000 x4
Ga 0.000 0.487 0.750 x4
Se 0.000 0.078 0.750 x4
Se 0.000 0.368 0.566 x8

[6]
The following is a PBE-GGA calculation of a geometry-optimized LaTbSbCl2 structure, from OQMD via LeMat-Bulk.

Calculated values
Electronic total energy in eV/atom: -5.192

abc: 4.2911 4.2911 10.7385
angles: 90.00 90.00 120.00
Space group P3m1 (No. 156)
Asymmetric unit:
La 0.0000 0.0000 0.0000 x1
Tb 0.6667 0.3333 0.6604 x1
Sb 0.3333 0.6667 0.8202 x1
Cl 0.0000 0.0000 0.5221 x1
Cl 0.6667 0.3333 0.1506 x1

[7]
The following is a PBE-GGA calculation of a geometry-optimized Ta2Re2W3 structure, from OQMD via LeMat-Bulk.

Calculated values
DFT formation energy in eV/atom: 0.300

abc: 4.4378 4.4378 21.6774
angles: 90.00 90.00 120.00
Space group R3m (No. 160, hexagonal axes)
Asymmetric unit:
Ta 0.0000 0.0000 0.0000 x3
Ta 0.0000 0.0000 0.4901 x3
Re 0.0000 0.0000 0.2443 x3
Re 0.0000 0.0000 0.7396 x3
W 0.0000 0.0000 0.1203 x3
W 0.0000 0.0000 0.6201 x3
W 0.0000 0.0000 0.8708 x3

[8]
The following is a PBE-GGA calculation of a geometry-optimized TmScPbC structure, from OQMD via LeMat-Bulk.

Calculated values
Energy relative to the lowest polymorph listed for this composition in eV per atom: 0.003

abc: 3.4957 3.4957 15.5105
angles: 90.00 90.00 120.00
Space group P-3m1 (No. 164)
Asymmetric unit:
Tm 0.3333 0.6667 0.4154 x2
Sc 0.3333 0.6667 0.0761 x2
Pb 0.3333 0.6667 0.7587 x2
C 0.0000 0.0000 0.0000 x1
C 0.0000 0.0000 0.5000 x1

Which formula does entry 3 have?
PrGaSnPd2

Repeat the third record exactly.
The following is a PBE-GGA calculation of a geometry-optimized PrGaSnPd2 structure, from OQMD via LeMat-Bulk.

Calculated values
Electronic total energy in eV/atom: -5.231

abc: 4.548 4.548 10.309
angles: 90.00 90.00 90.00
Space group P4/nmm (No. 129, origin choice 2)
Asymmetric unit:
Pr 0.250 0.250 0.245 x2
Ga 0.250 0.750 0.000 x2
Sn 0.250 0.250 0.638 x2
Pd 0.250 0.250 0.890 x2
Pd 0.250 0.750 0.500 x2